Here is a geometry-optimized CrIrAu2 structure from Alexandria via LeMat-Bulk. Energies are from GGA-PBE.

Summary:
total magnetic moment	2.562	Bohr magnetons per cell
formation energy	0.12	eV/atom
volume	65	Å³/cell
energy relative to the lowest polymorph listed for this composition	0.048	eV/atom
space group	Pm (6)

Cell: 3.654 2.890 6.768 Å, 64.65 90.00 90.00°
Atoms (fractional coordinates):
1 Ir 0.500 0.785 0.715
2 Au 0.500 0.237 0.263
3 Au 0.000 0.009 0.991
4 Cr 0.000 0.469 0.531